Entry from Alexandria via LeMat-Bulk: BaHfTa2Tc at its PBEsol-relaxed geometry (meta-GGA SCAN).

## Properties
Total DFT energy (no corrections) (eV for the cell shown): -259.1
ρ (kg/m³): 9447
Formation energy from the elements (eV per atom): 2.276

a b c (Å): 4.930 4.930 5.611
angles (deg): 90.00 90.00 90.00
Atoms (fractional coordinates):
Ba (0.000, 0.000, 0.000)
Hf (0.000, 0.000, 0.500)
Ta (0.000, 0.500, 0.500)
Ta (0.500, 0.000, 0.500)
Tc (0.500, 0.500, 0.000)